Entry 1:
Material: Pr3Ga3Co2
Method: DFT, PBE
State: optimized geometry

Cell: 6.0012 6.0012 15.5043 Å, 90.00 90.00 141.81°
Fractional positions:
Pr1 0.0632 0.9368 0.6038
Pr2 0.0632 0.9368 0.8962
Pr3 0.3381 0.6619 0.7500
Pr4 0.6619 0.3381 0.2500
Pr5 0.9368 0.0632 0.1038
Pr6 0.9368 0.0632 0.3962
Ga1 0.3347 0.6653 0.5373
Ga2 0.3347 0.6653 0.9627
Ga3 0.3695 0.6305 0.2500
Ga4 0.6305 0.3695 0.7500
Ga5 0.6653 0.3347 0.0373
Ga6 0.6653 0.3347 0.4627
Co1 0.2367 0.7633 0.1144
Co2 0.2367 0.7633 0.3856
Co3 0.7633 0.2367 0.6144
Co4 0.7633 0.2367 0.8856

Crystal system: orthorhombic
E_tot in eV per atom: -5.127
Symmetry: Cmcm, No. 63
V in A^3/atom: 21.58

---

Entry 2:
Material: Li2OsW
Method: DFT, PBE
State: optimized geometry

Cell: 2.9967 4.1813 4.6951 Å, 90.00 90.00 90.00°
Fractional positions:
Li1 0.0000 0.0000 0.0000
Li2 0.5000 0.5000 0.0000
Os1 0.0000 0.5000 0.5000
W1 0.5000 0.0000 0.5000

Crystal system: orthorhombic
E_tot in eV per atom: -6.713
Symmetry: Pmmm, No. 47
V in A^3/atom: 14.71

---

Entry 3:
Material: Pm2TaGe4Ir3
Method: DFT, PBE
State: optimized geometry

Cell: 4.2012 4.2012 10.8186 Å, 90.00 90.00 90.00°
Fractional positions:
Pm1 0.0000 0.5000 0.2414
Pm2 0.5000 0.0000 0.7586
Ta1 0.0000 0.0000 0.5000
Ge1 0.0000 0.0000 0.0000
Ge2 0.0000 0.5000 0.6475
Ge3 0.5000 0.0000 0.3525
Ge4 0.5000 0.5000 0.0000
Ir1 0.0000 0.5000 0.8761
Ir2 0.5000 0.0000 0.1239
Ir3 0.5000 0.5000 0.5000

Crystal system: tetragonal
E_tot in eV per atom: -7.302
Symmetry: P-4m2, No. 115
V in A^3/atom: 19.09

---

Entry 4:
Material: SbIr2S4
Method: DFT, PBE
State: optimized geometry

Cell: 7.6283 7.6283 7.6283 Å, 128.79 128.79 75.35°
Fractional positions:
Sb1 0.3750 0.1250 0.2500
Sb2 0.6250 0.8750 0.7500
Ir1 0.0000 0.0000 0.5000
Ir2 0.0000 0.5000 0.0000
Ir3 0.0000 0.5000 0.5000
Ir4 0.5000 0.5000 0.0000
S1 0.0168 0.1202 0.2958
S2 0.2209 0.5168 0.3966
S3 0.3243 0.7209 0.2042
S4 0.3798 0.1757 0.8966
S5 0.6202 0.8243 0.1034
S6 0.6757 0.2791 0.7958
S7 0.7791 0.4832 0.6034
S8 0.9832 0.8798 0.7042

Crystal system: tetragonal
Formation energy without anion corrections in eV/atom: -0.098
E_tot in eV per atom: -5.577
Symmetry: I4_1/a, No. 88
V in A^3/atom: 18.75

---

Entry 5:
Material: BeMo2Os
Method: DFT, PBE
State: optimized geometry

Cell: 4.8474 4.8474 4.8474 Å, 134.83 134.83 65.79°
Fractional positions:
Be1 0.0000 0.0000 0.0000
Mo1 0.2500 0.7500 0.5000
Mo2 0.5000 0.5000 0.0000
Os1 0.7500 0.2500 0.5000

Crystal system: tetragonal
E_tot in eV per atom: -8.973
Symmetry: I-4m2, No. 119
V in A^3/atom: 14.11

---

Entry 6:
Material: Ba3PtCl3
Method: DFT, PBE
State: optimized geometry

Cell: 11.2675 11.2675 11.2675 Å, 109.47 109.47 109.47°
Fractional positions:
Ba1 0.0031 0.0061 0.2531
Ba2 0.0031 0.4969 0.7500
Ba3 0.0061 0.2531 0.0031
Ba4 0.2469 0.2531 0.7500
Ba5 0.2469 0.4939 0.4969
Ba6 0.2531 0.0031 0.0061
Ba7 0.2531 0.7500 0.2469
Ba8 0.4939 0.4969 0.2469
Ba9 0.4969 0.2469 0.4939
Ba10 0.4969 0.7500 0.0031
Ba11 0.7500 0.0031 0.4969
Ba12 0.7500 0.2469 0.2531
Pt1 0.0000 0.2500 0.5000
Pt2 0.2500 0.2500 0.2500
Pt3 0.2500 0.5000 0.0000
Pt4 0.5000 0.0000 0.2500
Cl1 0.0078 0.0155 0.7578
Cl2 0.0078 0.4922 0.2500
Cl3 0.0155 0.7578 0.0078
Cl4 0.2500 0.0078 0.4922
Cl5 0.2500 0.7422 0.7578
Cl6 0.4845 0.4922 0.7422
Cl7 0.4922 0.2500 0.0078
Cl8 0.4922 0.7422 0.4845
Cl9 0.7422 0.4845 0.4922
Cl10 0.7422 0.7578 0.2500
Cl11 0.7578 0.0078 0.0155
Cl12 0.7578 0.2500 0.7422

Crystal system: cubic
Formation energy without anion corrections in eV/atom: -1.810
E_tot in eV per atom: -4.289
Symmetry: I4_132, No. 214
V in A^3/atom: 39.33